DFT (PBE-GGA) results for Li2MnBr4 after structural relaxation. Values from VASP.

Computed properties:
formation energy from raw total energies: -8.4 eV per formula unit
space-group type: Cmmm
crystal system: orthorhombic
offset from the most stable computed form: 0.000 eV/f.u.
theoretical density: 3786 kg/m3
calculated total energy: -4.019 eV/atom

Structure (Quantum ESPRESSO input):
```
&SYSTEM
  ibrav = 0, nat = 7, ntyp = 3
/
ATOMIC_SPECIES
Li 6.94 Li.upf
Mn 54.94 Mn.upf
Br 79.90 Br.upf
ATOMIC_POSITIONS crystal
Li 0.000 0.500 0.000
Li 0.500 0.000 0.000
Mn 0.000 0.000 0.500
Br 0.238 0.238 0.000
Br 0.242 0.758 0.500
Br 0.758 0.242 0.500
Br 0.762 0.762 0.000
CELL_PARAMETERS angstrom
3.932 -5.574 0.000
3.932 5.574 0.000
0.000 0.000 3.887
```